! K3Cd2MoO6 PBE+U relaxed; values from VASP
! **Density**: 4.82 g cm⁻³
! **Symmetry**: No. 12
! **DFT total energy**: -4.92 eV per atom
! **Magnetic moment**: 1.00 μB per cell
&SYSTEM
  ibrav = 0, nat = 12, ntyp = 4
/
ATOMIC_SPECIES
Cd 112.41 Cd.upf
O 16.00 O.upf
Mo 95.94 Mo.upf
K 39.10 K.upf
CELL_PARAMETERS angstrom
5.9600 -0.0897 0.0191
-3.0562 5.1176 0.0191
-0.9490 -1.6431 6.0776
ATOMIC_POSITIONS crystal
Cd 0.6738 0.3262 0.0000
Cd 0.3262 0.6738 0.0000
O 0.0694 0.3615 0.1871
O 0.6385 0.9306 0.8129
O 0.3615 0.0694 0.1871
O 0.2075 0.2075 0.8089
O 0.7925 0.7925 0.1911
O 0.9306 0.6385 0.8129
Mo 0.0000 0.0000 0.0000
K 0.8257 0.1743 0.5000
K 0.1743 0.8257 0.5000
K 0.5000 0.5000 0.5000